Record 1
The following is a PBEsol calculation of a relaxed structure of CsMo3Se3, from the Alexandria database.

Unit cell a=4.469 b=9.525 c=9.525 alpha=120.00 beta=90.00 gamma=90.00
Fractional positions:
Mo1 0.250 0.829 0.854
Mo2 0.750 0.171 0.146
Mo3 0.750 0.854 0.025
Mo4 0.250 0.146 0.975
Mo5 0.750 0.975 0.829
Mo6 0.250 0.025 0.171
Se1 0.250 0.338 0.287
Se2 0.750 0.050 0.338
Se3 0.250 0.950 0.662
Se4 0.750 0.287 0.950
Se5 0.750 0.662 0.713
Se6 0.250 0.713 0.050
Cs1 0.250 0.333 0.667
Cs2 0.750 0.667 0.333

Results
density of states at the Fermi level = 1.36 states/eV/cell
electronic total energy = -0.5570 Ry/atom
raw formation energy = -0.7504 eV per atom
mass density = 6.2 Mg/m³



Record 2
The following is a PBEsol calculation of a relaxed structure of SbHCI2, from the Alexandria database.

Unit cell a=4.257 b=5.410 c=5.410 alpha=90.00 beta=90.00 gamma=90.00
Site moments in Bohr magnetons follow the coordinates.
Fractional positions:
Sb1 0.500 0.000 0.000  0.01
I1 0.000 0.000 0.500  0.04
I2 0.000 0.500 0.000  0.04
C1 0.000 0.000 0.000  0.00
H1 0.500 0.500 0.500  0.34

Results
density of states at the Fermi level = 1.75 states/eV/cell
electronic total energy = -0.2062 Ry/atom
mass density = 5.2 Mg/m³



Record 3
The following is a PBEsol calculation of a relaxed structure of Li2RuF, from the Alexandria database.

Unit cell a=4.163 b=4.163 c=4.163 alpha=60.00 beta=60.00 gamma=60.00
Site moments in Bohr magnetons follow the coordinates.
Fractional positions:
Li1 0.750 0.750 0.750  -0.01
Li2 0.250 0.250 0.250  -0.01
Ru1 0.500 0.500 0.500  1.61
F1 0.000 0.000 0.000  0.04

Results
density of states at the Fermi level = 2.88 states/eV/cell
ΔE to the lowest computed polymorph = 0.723 eV/atom
electronic total energy = -0.2784 Ry/atom
raw formation energy = 0.2204 eV per atom
mass density = 4.4 Mg/m³



Record 4
The following is a PBEsol calculation of a relaxed structure of CoRh4, from the Alexandria database.

Unit cell a=3.717 b=4.558 c=4.558 alpha=80.43 beta=65.93 gamma=65.93
Site moments in Bohr magnetons follow the coordinates.
Fractional positions:
Rh1 0.203 0.195 0.400  0.10
Rh2 0.797 0.805 0.600  0.10
Rh3 0.602 0.600 0.195  0.10
Rh4 0.398 0.400 0.805  1.50
Co1 0.000 0.000 0.000  0.10

Results
formation energy = 0.204 eV/f.u.
density of states at the Fermi level = 6.51 states/eV/cell
ΔE to the lowest computed polymorph = 0.007 eV/atom
electronic total energy = -0.5893 Ry/atom
mass density = 12.1 Mg/m³



Record 5
The following is a PBEsol calculation of a relaxed structure of BaNi2P2, from the Alexandria database.

Unit cell a=3.875 b=3.875 c=6.527 alpha=107.27 beta=107.27 gamma=90.00
Fractional positions:
Ba1 0.000 0.000 0.000
P1 0.658 0.658 0.316
P2 0.342 0.342 0.684
Ni1 0.250 0.750 0.500
Ni2 0.750 0.250 0.500

Results
formation energy = -4.095 eV/f.u.
density of states at the Fermi level = 3.55 states/eV/cell
electronic total energy = -0.4431 Ry/atom
mass density = 5.9 Mg/m³



Record 6
The following is a PBEsol calculation of a relaxed structure of TlCd2PdS, from the Alexandria database.

Unit cell a=5.006 b=5.375 c=5.375 alpha=90.00 beta=90.00 gamma=90.00
Fractional positions:
Tl1 0.000 0.000 0.000
Cd1 0.000 0.000 0.500
Cd2 0.000 0.500 0.000
Pd1 0.500 0.500 0.500
S1 0.500 0.000 0.000

Results
density of states at the Fermi level = 5.03 states/eV/cell
electronic total energy = -0.1541 Ry/atom
raw formation energy = 0.9769 eV per atom
mass density = 6.5 Mg/m³



Record 7
The following is a PBEsol calculation of a relaxed structure of Os3Cl, from the Alexandria database.

Unit cell a=2.801 b=4.977 c=4.977 alpha=116.57 beta=100.81 gamma=100.81
Fractional positions:
Os1 0.000 0.500 0.500
Os2 0.500 0.000 0.500
Os3 0.500 0.500 0.000
Cl1 0.000 0.000 0.000

Results
density of states at the Fermi level = 4.64 states/eV/cell
ΔE to the lowest computed polymorph = 0.926 eV/atom
electronic total energy = -0.6050 Ry/atom
raw formation energy = 1.4330 eV per atom
mass density = 17.4 Mg/m³



Record 8
The following is a PBEsol calculation of a relaxed structure of K2MgCo, from the Alexandria database.

Unit cell a=3.372 b=6.324 c=6.324 alpha=118.69 beta=90.00 gamma=90.00
Site moments in Bohr magnetons follow the coordinates.
Fractional positions:
Co1 0.500 0.500 0.500  1.85
K1 0.000 0.000 0.500  -0.01
K2 0.000 0.500 0.000  -0.01
Mg1 0.500 0.000 0.000  -0.01

Results
formation energy = 3.830 eV/f.u.
density of states at the Fermi level = 6.55 states/eV/cell
electronic total energy = -0.1450 Ry/atom
mass density = 2.3 Mg/m³



Question: Look up the mass density of the fourth one.
Answer: 12.1 Mg/m³